First-principles (GGA+U) data for a geometry-optimized NaTaMnO4 structure, as listed in Alexandria via LeMat-Bulk.

```
NaTaMnO4
1.0
-3.074 2.282 4.279
-4.583 -3.309 -1.527
3.691 -5.992 1.910
O Ta Na Mn
8 2 2 2
direct
0.449 0.750 0.185
0.551 0.250 0.815
0.015 0.995 0.311
0.015 0.505 0.311
0.479 0.750 0.588
0.521 0.250 0.412
0.985 0.005 0.689
0.985 0.495 0.689
0.762 0.250 0.672
0.238 0.750 0.328
0.660 0.250 0.150
0.340 0.750 0.850
0.198 0.250 0.538
0.802 0.750 0.462
```

Results
The value obtained for the volume is 224.4 Å³ per cell. Its raw total energy is -111.46 eV/cell. The crystal system is monoclinic. Its symmetry is P2_1/m.